1.
## TcPb3F (meta-GGA SCAN)

Data for TcPb3F at its PBEsol-relaxed geometry.

abc: 4.891 4.891 4.891
angles: 90.00 90.00 90.00
Space group Pm-3m (No. 221)
Asymmetric unit:
1 Tc 0.000 0.000 0.000 [1 per cell]
2 Pb 0.000 0.500 0.500 [3 per cell]
3 F 0.500 0.500 0.500 [1 per cell]

Results
raw formation energy = 0.1425 eV/atom
magnetic moment = 3.4 μB/f.u.

=====

2.
## YSc2Ag2 (meta-GGA SCAN)

Data for YSc2Ag2 at its PBEsol-relaxed geometry.

abc: 7.943 7.943 3.461
angles: 90.00 90.00 90.00
Space group P4/mbm (No. 127)
Asymmetric unit:
1 Y 0.000 0.000 0.000 [2 per cell]
2 Sc 0.164 0.336 0.500 [4 per cell]
3 Ag 0.128 0.628 0.000 [4 per cell]

Results
formation enthalpy at 0 K = -0.242 eV/atom
magnetic moment = 0.0 μB/f.u.

=====

3.
## ZrAu4 (meta-GGA SCAN)

Data for ZrAu4 at its PBEsol-relaxed geometry.

abc: 5.022 4.863 14.341
angles: 90.00 90.00 90.00
Space group Pnma (No. 62)
Asymmetric unit:
1 Zr 0.157 0.250 0.098 [4 per cell]
2 Au 0.158 0.250 0.299 [4 per cell]
3 Au 0.162 0.250 0.500 [4 per cell]
4 Au 0.163 0.250 0.898 [4 per cell]
5 Au 0.176 0.250 0.697 [4 per cell]

Results
formation enthalpy at 0 K = -0.574 eV/atom
magnetic moment = 0.0 μB/f.u.

=====

4.
## BeAlFe2 (meta-GGA SCAN)

Data for BeAlFe2 at its PBEsol-relaxed geometry.

abc: 3.131 3.775 7.237
angles: 90.00 90.00 90.00
Space group Immm (No. 71)
Asymmetric unit:
1 Be 0.000 0.000 0.000 [2 per cell]
2 Al 0.000 0.000 0.500 [2 per cell]
3 Fe 0.000 0.500 0.260 [4 per cell]

Results
formation enthalpy at 0 K = -0.237 eV/atom
magnetic moment = 4.2 μB/f.u.

=====

5.
## KBa2Tl2 (meta-GGA SCAN)

Data for KBa2Tl2 at its PBEsol-relaxed geometry.

abc: 9.923 9.923 4.123
angles: 90.00 90.00 90.00
Space group P4/mbm (No. 127)
Asymmetric unit:
1 K 0.000 0.000 0.000 [2 per cell]
2 Ba 0.167 0.333 0.500 [4 per cell]
3 Tl 0.125 0.625 0.000 [4 per cell]

Results
formation enthalpy at 0 K = -0.402 eV/atom
magnetic moment = 0.0 μB/f.u.

=====

6.
## InTeSe2 (meta-GGA SCAN)

Data for InTeSe2 at its PBEsol-relaxed geometry.

abc: 7.558 7.558 7.295
angles: 90.00 90.00 90.00
Space group I-42d (No. 122)
Asymmetric unit:
1 In 0.000 0.000 0.000 [4 per cell]
2 Te 0.000 0.000 0.500 [4 per cell]
3 Se 0.239 0.750 0.125 [8 per cell]

Results
raw formation energy = -0.0340 eV/atom
magnetic moment = 0.0 μB/f.u.

=====

7.
## TaGaNF2 (meta-GGA SCAN)

Data for TaGaNF2 at its PBEsol-relaxed geometry.

abc: 3.574 3.574 4.878
angles: 90.00 90.00 90.00
Space group P4/mmm (No. 123)
Asymmetric unit:
1 Ta 0.000 0.000 0.000 [1 per cell]
2 Ga 0.500 0.500 0.500 [1 per cell]
3 N 0.500 0.500 0.000 [1 per cell]
4 F 0.000 0.500 0.500 [2 per cell]

Results
raw formation energy = -0.3472 eV/atom
magnetic moment = 2.5 μB/f.u.

=====

8.
## LiMg2Ag2 (meta-GGA SCAN)

Data for LiMg2Ag2 at its PBEsol-relaxed geometry.

abc: 7.633 7.633 3.234
angles: 90.00 90.00 90.00
Space group P4/mbm (No. 127)
Asymmetric unit:
1 Li 0.000 0.000 0.000 [2 per cell]
2 Mg 0.160 0.340 0.500 [4 per cell]
3 Ag 0.137 0.637 0.000 [4 per cell]

Results
formation enthalpy at 0 K = -0.214 eV/atom
ΔE to the lowest computed polymorph = 0 meV/atom
magnetic moment = 0.0 μB/f.u.

=====

> Among the records above, which one has the highest magnetic moment?

BeAlFe2

=====

> Which formula does entry 1 have?

TcPb3F